24
Lattice="14.5176 0.0000 0.0000 0.0000 4.1946 0.0000 0.0000 0.0000 11.1930" Properties=species:S:1:pos:R:3 comment="TmTlHgSe3 (PBE, optimized geometry)" sg="Pnma (62)" pbc="T T T"
Tm 0.3864 1.0487 1.7070
Tm 6.8724 3.1460 7.3035
Tm 7.6452 1.0487 3.8895
Tm 14.1311 3.1460 9.4860
Tl 3.5304 1.0487 5.0348
Tl 3.7284 3.1460 10.6313
Tl 10.7892 1.0487 0.5617
Tl 10.9871 3.1460 6.1582
Hg 0.3285 3.1460 4.4192
Hg 6.9302 1.0487 10.0157
Hg 7.5873 3.1460 1.1772
Hg 14.1890 1.0487 6.7737
Se 1.3639 1.0487 10.3025
Se 1.3887 3.1460 7.0650
Se 2.1873 3.1460 2.5325
Se 5.0715 1.0487 8.1290
Se 5.8700 1.0487 1.4685
Se 5.8949 3.1460 4.7060
Se 8.6227 1.0487 6.4870
Se 8.6475 3.1460 9.7245
Se 9.4461 3.1460 3.0640
Se 12.3302 1.0487 8.6605
Se 13.1288 1.0487 4.1280
Se 13.1536 3.1460 0.8905


9
Lattice="7.2991 0.0000 0.0000 0.0000 7.2991 0.0000 0.0000 0.0000 7.2991" Properties=species:S:1:pos:R:3 comment="TlHg3WSe4 (PBE, optimized geometry)" sg="P-43m (215)" pbc="T T T"
Tl 0.0000 0.0000 0.0000
Hg 0.0000 3.6496 3.6496
Hg 3.6496 0.0000 3.6496
Hg 3.6496 3.6496 0.0000
W 3.6496 3.6496 3.6496
Se 2.2821 2.2821 2.2821
Se 2.2821 5.0170 5.0170
Se 5.0170 2.2821 5.0170
Se 5.0170 5.0170 2.2821


24
Lattice="11.0255 0.0000 0.0000 0.0000 4.2297 0.0000 0.0000 0.0000 14.3881" Properties=species:S:1:pos:R:3 comment="YTlHgSe3 (PBE, optimized geometry)" sg="Pnma (62)" pbc="T T T"
Y 0.0750 1.0574 3.5831
Y 5.4378 3.1722 10.7772
Y 5.5878 1.0574 3.6109
Y 10.9505 3.1722 10.8050
Tl 2.6914 3.1722 7.1742
Tl 2.8213 1.0574 14.3683
Tl 8.2042 3.1722 0.0198
Tl 8.3341 1.0574 7.2139
Hg 2.6941 1.0574 10.1263
Hg 2.8187 3.1722 2.9322
Hg 8.2068 1.0574 11.4559
Hg 8.3315 3.1722 4.2618
Se 0.3934 1.0574 8.8613
Se 0.5397 3.1722 1.6351
Se 2.6829 3.1722 11.8813
Se 2.8299 1.0574 4.6873
Se 4.9730 1.0574 8.8292
Se 5.1194 3.1722 1.6672
Se 5.9062 1.0574 12.7209
Se 6.0525 3.1722 5.5589
Se 8.1956 3.1722 9.7008
Se 8.3427 1.0574 2.5068
Se 10.4858 1.0574 12.7530
Se 10.6321 3.1722 5.5268


12
Lattice="8.2609 0.0000 0.0000 0.0000 4.2179 0.0000 -3.1171 0.0000 10.0400" Properties=species:S:1:pos:R:3 comment="YTlHgSe3 (PBE, optimized geometry)" sg="P2_1/m (11)" pbc="T T T"
Y 1.1345 1.0545 1.3613
Y 4.0093 3.1634 8.6788
Tl -0.2811 3.1634 7.2174
Tl 5.4249 1.0545 2.8227
Hg 2.2713 3.1634 3.8422
Hg 2.8725 1.0545 6.1979
Se -2.2851 1.0545 8.6074
Se 0.6348 1.0545 4.3942
Se 3.1405 3.1634 1.3553
Se 2.0034 1.0545 8.6847
Se 4.5090 3.1634 5.6459
Se 7.4289 3.1634 1.4327


24
Lattice="12.2141 0.0000 0.0000 0.0000 4.2984 0.0000 0.0000 0.0000 12.8128" Properties=species:S:1:pos:R:3 comment="YTlHgSe3 (PBE, optimized geometry)" sg="Pnma (62)" pbc="T T T"
Y 0.3954 1.0746 2.2456
Y 5.7116 3.2238 8.6520
Y 6.5025 1.0746 4.1608
Y 11.8186 3.2238 10.5672
Tl 1.9818 1.0746 6.4338
Tl 4.1252 3.2238 0.0274
Tl 8.0888 1.0746 12.7854
Tl 10.2323 3.2238 6.3790
Hg 3.0446 1.0746 10.3104
Hg 3.0624 3.2238 3.9040
Hg 9.1517 1.0746 8.9088
Hg 9.1694 3.2238 2.5024
Se 0.3872 3.2238 4.2437
Se 1.0044 1.0746 11.9732
Se 2.8829 3.2238 8.5939
Se 3.2241 1.0746 2.1875
Se 5.1026 3.2238 5.5668
Se 5.7198 1.0746 10.6501
Se 6.4943 3.2238 2.1628
Se 7.1115 1.0746 7.2461
Se 8.9899 3.2238 10.6253
Se 9.3312 1.0746 4.2189
Se 11.2096 3.2238 0.8396
Se 11.8268 1.0746 8.5692


24
Lattice="8.3623 0.0000 0.0000 0.0000 4.4313 0.0000 0.0000 0.0000 17.2150" Properties=species:S:1:pos:R:3 comment="YTlHgSe3 (PBE, optimized geometry)" sg="Pnma (62)" pbc="T T T"
Y 1.9097 1.1078 0.6669
Y 2.2714 3.3234 9.2744
Y 6.0909 1.1078 7.9407
Y 6.4525 3.3234 16.5482
Tl 0.5246 1.1078 13.8685
Tl 3.6566 3.3234 5.2610
Tl 4.7057 1.1078 11.9540
Tl 7.8377 3.3234 3.3465
Hg 0.6365 1.1078 5.8732
Hg 3.5447 3.3234 14.4807
Hg 4.8176 1.1078 2.7343
Hg 7.7258 3.3234 11.3419
Se 0.0252 1.1078 9.8774
Se 1.0389 3.3234 16.3052
Se 1.9031 1.1078 3.5289
Se 2.2781 3.3234 12.1364
Se 3.1422 1.1078 7.6977
Se 4.1560 3.3234 1.2699
Se 4.2063 1.1078 15.9451
Se 5.2200 3.3234 9.5173
Se 6.0842 1.1078 5.0786
Se 6.4592 3.3234 13.6861
Se 7.3234 1.1078 0.9098
Se 8.3371 3.3234 7.3376


12
Lattice="2.0947 -7.3453 0.0000 2.0947 7.3453 0.0000 0.0000 0.0000 10.9965" Properties=species:S:1:pos:R:3 comment="YTlHgSe3 (PBE, optimized geometry)" sg="Cmcm (63)" pbc="T T T"
Y 0.0000 0.0000 0.0000
Y 0.0000 0.0000 5.4983
Tl 2.0947 3.6910 8.2474
Tl 2.0947 -3.6910 2.7491
Hg 2.0947 0.6413 2.7491
Hg 2.0947 -0.6413 8.2474
Se 2.0947 6.2238 2.7491
Se 2.0947 1.9612 0.4758
Se 2.0947 1.9612 5.0224
Se 2.0947 -1.9612 5.9741
Se 2.0947 -1.9612 10.5207
Se 2.0947 -6.2238 8.2474


24
Lattice="14.4727 0.0000 0.0000 0.0000 4.2341 0.0000 0.0000 0.0000 11.2824" Properties=species:S:1:pos:R:3 comment="YTlHgSe3 (PBE, optimized geometry)" sg="Pnma (62)" pbc="T T T"
Y 0.4074 1.0585 1.7282
Y 6.8289 3.1756 7.3694
Y 7.6438 1.0585 3.9130
Y 14.0653 3.1756 9.5542
Tl 3.5024 1.0585 5.1054
Tl 3.7340 3.1756 10.7466
Tl 10.7388 1.0585 0.5358
Tl 10.9703 3.1756 6.1770
Hg 0.3188 3.1756 4.4443
Hg 6.9176 1.0585 10.0855
Hg 7.5552 3.1756 1.1969
Hg 14.1539 1.0585 6.8381
Se 1.3798 3.1756 7.0898
Se 1.3829 1.0585 10.3754
Se 2.2248 3.1756 2.5906
Se 5.0116 1.0585 8.2318
Se 5.8535 3.1756 4.7341
Se 5.8566 1.0585 1.4486
Se 8.6162 3.1756 9.8338
Se 8.6193 1.0585 6.5483
Se 9.4611 3.1756 3.0506
Se 12.2480 1.0585 8.6918
Se 13.0898 3.1756 0.9071
Se 13.0929 1.0585 4.1926


12
Lattice="8.9661 -2.0853 0.0000 8.9661 2.0853 0.0000 -2.2324 0.0000 9.0343" Properties=species:S:1:pos:R:3 comment="YTlHgSe3 (PBE, optimized geometry)" sg="C2/m (12)" pbc="T T T"
Y 2.9215 0.0000 0.8053
Y 12.7784 0.0000 8.2290
Tl 1.1883 0.0000 5.2130
Tl 14.5116 0.0000 3.8213
Hg 6.8480 0.0000 7.0387
Hg 8.8520 0.0000 1.9956
Se 0.0000 0.0000 0.0000
Se 4.2220 0.0000 6.2891
Se 5.7318 0.0000 1.1381
Se 7.8500 0.0000 4.5171
Se 9.9681 0.0000 7.8961
Se 11.4779 0.0000 2.7452


9
Lattice="6.9033 0.0000 0.0000 0.0000 6.9033 0.0000 0.0000 0.0000 6.9033" Properties=species:S:1:pos:R:3 comment="ZrTlHg3Se4 (PBE, optimized geometry)" sg="P-43m (215)" pbc="T T T"
Zr 0.0000 0.0000 0.0000
Tl 3.4516 3.4516 3.4516
Hg 0.0000 0.0000 3.4516
Hg 0.0000 3.4516 0.0000
Hg 3.4516 0.0000 0.0000
Se 1.4927 1.4927 5.4106
Se 1.4927 5.4106 1.4927
Se 5.4106 1.4927 1.4927
Se 5.4106 5.4106 5.4106


14
Lattice="0.0000 5.8503 5.8503 5.8503 0.0000 5.8503 5.8503 5.8503 0.0000" Properties=species:S:1:pos:R:3 comment="Tm2HgSe4 (PBE, optimized geometry)" sg="Fd-3m (227)" pbc="T T T"
Tm 0.0000 0.0000 0.0000
Tm 2.9252 2.9252 0.0000
Tm 2.9252 0.0000 2.9252
Tm 0.0000 2.9252 2.9252
Hg 4.3877 4.3877 4.3877
Hg 7.3129 7.3129 7.3129
Se 8.8757 5.7501 5.7501
Se 2.8250 2.8250 2.8250
Se 5.9505 5.9505 2.8250
Se 5.9505 2.8250 5.9505
Se 5.7501 8.8757 5.7501
Se 5.7501 5.7501 8.8757
Se 8.8757 8.8757 8.8757
Se 2.8250 5.9505 5.9505


14
Lattice="0.0000 5.9093 5.9093 5.9093 0.0000 5.9093 5.9093 5.9093 0.0000" Properties=species:S:1:pos:R:3 comment="Y2HgSe4 (PBE, optimized geometry)" sg="Fd-3m (227)" pbc="T T T"
Y 0.0000 0.0000 0.0000
Y 2.9546 2.9546 0.0000
Y 2.9546 0.0000 2.9546
Y 0.0000 2.9546 2.9546
Hg 4.4320 4.4320 4.4320
Hg 7.3866 7.3866 7.3866
Se 8.9535 5.8198 5.8198
Se 2.8651 2.8651 2.8651
Se 5.9988 5.9988 2.8651
Se 5.9988 2.8651 5.9988
Se 5.8198 8.9535 5.8198
Se 5.8198 5.8198 8.9535
Se 8.9535 8.9535 8.9535
Se 2.8651 5.9988 5.9988


no.,density (g cm⁻³),final energy (eV per atom)
1,7.9,-3.849
2,5.6,-3.298
3,7.2,-4.204
4,6.9,-4.194
5,7.2,-4.158
6,7.6,-4.119
7,7.2,-4.206
8,7.0,-4.197
9,7.2,-4.161
10,6.1,-3.195
11,7.1,-4.696
12,5.6,-5.280